First-principles (PBE) data for crystalline Tl2OsCl at its relaxed geometry, as listed in the Alexandria database.

Lattice parameters (Å, degrees): 6.0403 3.4828 8.7456 90.00 102.70 90.00
Space group C2/m (No. 12)
Asymmetric unit:
Tl (0.2402, 0.0000, 0.2295) (multiplicity 4)
Os (0.0000, 0.5000, 0.0000) (multiplicity 2)
Cl (0.0000, 0.0000, 0.5000) (multiplicity 2)

Summary:
The calculation puts the uncorrected formation energy at 224 kJ/mol of formula units. The energy above the most stable polymorph in this dataset is 104 meV/atom.



First-principles (PBE) data for crystalline Ho6SiC2Se3 at its relaxed geometry, as listed in the Alexandria database.

Lattice parameters (Å, degrees): 17.2982 3.8144 8.0701 90.00 105.10 90.00
Space group C2/m (No. 12)
Asymmetric unit:
Ho (0.0180, 0.0000, 0.2571) (multiplicity 4)
Ho (0.1689, 0.5000, 0.1242) (multiplicity 4)
Ho (0.1790, 0.5000, 0.5581) (multiplicity 4)
Si (0.0000, 0.5000, 0.0000) (multiplicity 2)
C (0.1713, 0.0000, 0.3416) (multiplicity 4)
Se (0.0000, 0.5000, 0.5000) (multiplicity 2)
Se (0.1629, 0.0000, 0.8310) (multiplicity 4)

Summary:
The calculation puts the uncorrected formation energy at -1363 kJ/mol of formula units.



First-principles (PBE) data for crystalline RbScGaCl2 at its relaxed geometry, as listed in the Alexandria database.

Lattice parameters (Å, degrees): 5.8170 5.8170 6.4566 90.00 90.00 90.00
Space group P4/mmm (No. 123)
Asymmetric unit:
Rb (0.0000, 0.0000, 0.0000) (multiplicity 1)
Sc (0.0000, 0.0000, 0.5000) (multiplicity 1)
Ga (0.5000, 0.5000, 0.5000) (multiplicity 1)
Cl (0.0000, 0.5000, 0.0000) (multiplicity 2)

Summary:
The calculation puts the uncorrected formation energy at 63 kJ/mol of formula units.



First-principles (PBE) data for crystalline NdGa11Rh at its relaxed geometry, as listed in the Alexandria database.

Lattice parameters (Å, degrees): 5.2085 12.2412 7.9514 90.00 108.46 90.00
Space group C2/m (No. 12)
Asymmetric unit:
Nd (0.0000, 0.0000, 0.0000) (multiplicity 2)
Ga (0.0000, 0.0000, 0.5000) (multiplicity 2)
Ga (0.1177, 0.3909, 0.2298) (multiplicity 8)
Ga (0.2000, 0.1757, 0.3645) (multiplicity 8)
Ga (0.2500, 0.2500, 0.0000) (multiplicity 4)
Rh (0.0000, 0.5000, 0.5000) (multiplicity 2)

Summary:
The energy of formation comes out at -0.235 eV/atom.



First-principles (PBE) data for crystalline KSb2Se at its relaxed geometry, as listed in the Alexandria database.

Lattice parameters (Å, degrees): 4.3162 5.6293 9.5674 90.00 90.00 90.00
Space group Cmmm (No. 65)
Asymmetric unit:
K (0.0000, 0.0000, 0.0000) (multiplicity 2)
Sb (0.0000, 0.5000, 0.2948) (multiplicity 4)
Se (0.0000, 0.0000, 0.5000) (multiplicity 2)

Summary:
The calculation puts the uncorrected formation energy at 31 kJ/mol of formula units. The energy above the most stable polymorph in this dataset is 437 meV/atom.



First-principles (PBE) data for crystalline Lu2PuMg at its relaxed geometry, as listed in the Alexandria database.

Lattice parameters (Å, degrees): 5.4644 5.4644 3.5837 90.00 90.00 90.00
Space group P4/mmm (No. 123)
Asymmetric unit:
Lu (0.0000, 0.5000, 0.0000) (multiplicity 2)
Pu (0.0000, 0.0000, 0.5000) (multiplicity 1)
Mg (0.5000, 0.5000, 0.5000) (multiplicity 1)

Summary:
The energy above the most stable polymorph in this dataset is 70 meV/atom. The energy of formation comes out at 0.116 eV/atom.



First-principles (PBE) data for crystalline Sm4InAu5 at its relaxed geometry, as listed in the Alexandria database.

Lattice parameters (Å, degrees): 3.6782 3.6782 17.8596 90.00 90.00 90.00
Space group P4/mmm (No. 123)
Asymmetric unit:
Sm (0.0000, 0.0000, 0.1035) (multiplicity 2)
Sm (0.0000, 0.0000, 0.3102) (multiplicity 2)
In (0.0000, 0.0000, 0.5000) (multiplicity 1)
Au (0.5000, 0.5000, 0.0000) (multiplicity 1)
Au (0.5000, 0.5000, 0.2046) (multiplicity 2)
Au (0.5000, 0.5000, 0.4023) (multiplicity 2)

Summary:
The energy of formation comes out at -0.707 eV/atom.



First-principles (PBE) data for crystalline Cr2GeSbBr at its relaxed geometry, as listed in the Alexandria database.

Lattice parameters (Å, degrees): 4.8250 4.8250 5.8668 90.00 90.00 90.00
Space group P4/mmm (No. 123)
Asymmetric unit:
Cr (0.0000, 0.5000, 0.0000) (multiplicity 2)
Ge (0.0000, 0.0000, 0.5000) (multiplicity 1)
Sb (0.5000, 0.5000, 0.5000) (multiplicity 1)
Br (0.5000, 0.5000, 0.0000) (multiplicity 1)

Summary:
The calculation puts the uncorrected formation energy at 534 kJ/mol of formula units.



These records have density of states at the Fermi level values of 5.124; 2.795; 5.298; 10.600; 3.283; 9.537; 6.097; 2.691 states/eV per cell, in the order they appear.